1.
Density functional theory data (GGA-PBE) for a relaxed LiPr3Pb12 crystal.

extended XYZ file:
```
16
Lattice="-4.8220 0.7010 -0.3762 -0.3912 -4.1014 -2.6288 -2.8294 -10.4700 16.7558" Properties=species:S:1:pos:R:3 pbc="T T T"
Pb -4.0213 -6.9351 6.8754
Pb -3.4690 -3.5644 6.0773
Pb -4.9064 -8.8835 14.5898
Pb -0.5296 -3.2866 0.6635
Pb -3.2985 -4.2604 2.5948
Pb -1.9670 -8.6057 9.1761
Pb -4.7441 -9.6099 11.1560
Pb -2.7450 -0.8854 1.7898
Pb -1.2536 -5.9656 4.9509
Pb -2.6066 -1.7002 -1.5025
Pb -2.6910 -11.2847 13.4635
Pb -4.1824 -6.2045 10.3024
Pr -0.7112 -2.6317 4.2118
Pr -1.4147 -5.2350 8.3779
Pr -2.1182 -7.8382 12.5441
Li 0.0000 0.0000 0.0000
```

## Properties
Total magnetic moment   0.00 μB/f.u.
E_form   -0.317 eV per atom



2.
Density functional theory data (GGA-PBE) for a relaxed LiPrPb6 crystal.

extended XYZ file:
```
8
Lattice="4.8642 0.0000 0.0000 0.0000 4.8642 0.0000 0.0000 0.0000 9.9101" Properties=species:S:1:pos:R:3 pbc="T T T"
Pb 2.4321 2.4321 0.0000
Pb 2.4321 2.4321 4.9551
Pb 0.0000 2.4321 2.5889
Pb 2.4321 0.0000 2.5889
Pb 0.0000 2.4321 7.3212
Pb 2.4321 0.0000 7.3212
Pr 0.0000 0.0000 0.0000
Li 0.0000 0.0000 4.9551
```

## Properties
Total magnetic moment   0.00 μB/f.u.
E_form   -0.244 eV per atom



3.
Density functional theory data (GGA-PBE) for a relaxed Li3Pr2Pb2 crystal.

extended XYZ file:
```
7
Lattice="4.9619 0.0000 0.0000 -2.4809 5.5058 0.4067 0.0000 -2.0310 6.4512" Properties=species:S:1:pos:R:3 pbc="T T T"
Pb 2.4809 2.2843 5.1194
Pb 0.0000 1.1904 1.7385
Pr 2.4809 3.4011 1.8347
Pr 0.0000 0.0737 5.0232
Li 0.0000 3.1634 4.0070
Li 2.4809 0.3114 2.8509
Li 2.4809 0.0000 0.0000
```

## Properties
Total magnetic moment   0.00 μB/f.u.
E_form   -0.387 eV per atom